{
  "formula": "TlSiPt2",
  "functional": "GGA-PBE",
  "state": "relaxed",
  "space_group": "P4mm",
  "raw_formation_energy_ev_per_fu": -0.6,
  "magnetic_moment_mub_per_cell": 0.00,
  "lattice": [[3.448, 0.000, 0.000], [0.000, 3.448, 0.000], [0.000, 0.000, 6.087]],
  "species": ["Tl", "Si", "Pt", "Pt"],
  "frac_coords": [[0.000, 0.000, 0.000], [0.500, 0.500, 0.637], [0.000, 0.000, 0.532], [0.500, 0.500, 0.244]]
}